No. 1
## DySbMo2O9 (GGA-PBEsol)

Data for crystalline DySbMo2O9 at its relaxed geometry.

Properties
E_form (uncorrected) (meV per atom): -2237.6
Space group: C2/c (15)

Cell: 9.5158 9.5158 10.6696 Å, 112.26 112.26 95.07°
Fractional coordinates of all 52 atoms:
Dy 0.1256 0.8744 0.7500
Dy 0.3292 0.6708 0.2500
Dy 0.6708 0.3292 0.7500
Dy 0.8744 0.1256 0.2500
Sb 0.3444 0.3822 0.4645
Sb 0.3822 0.3444 0.9645
Sb 0.6178 0.6556 0.0355
Sb 0.6556 0.6178 0.5355
Mo 0.0478 0.2605 0.0284
Mo 0.0562 0.4354 0.6953
Mo 0.2605 0.0478 0.5284
Mo 0.4354 0.0562 0.1953
Mo 0.5646 0.9438 0.8047
Mo 0.7395 0.9522 0.4716
Mo 0.9438 0.5646 0.3047
Mo 0.9522 0.7395 0.9716
O 0.0269 0.6945 0.4971
O 0.0480 0.2232 0.1787
O 0.0673 0.0945 0.9004
O 0.0930 0.5497 0.2452
O 0.0945 0.0673 0.4004
O 0.1309 0.7038 0.0666
O 0.1446 0.6213 0.7276
O 0.2067 0.3631 0.7972
O 0.2232 0.0480 0.6787
O 0.2229 0.4042 0.0772
O 0.2962 0.8691 0.4334
O 0.3055 0.9731 0.0029
O 0.3631 0.2067 0.2972
O 0.3787 0.8554 0.7724
O 0.4042 0.2229 0.5772
O 0.4225 0.5395 0.3973
O 0.4503 0.9070 0.2548
O 0.4605 0.5775 0.1027
O 0.5395 0.4225 0.8973
O 0.5497 0.0930 0.7452
O 0.5775 0.4605 0.6027
O 0.5958 0.7771 0.4228
O 0.6213 0.1446 0.2276
O 0.6369 0.7933 0.7028
O 0.6945 0.0269 0.9971
O 0.7038 0.1309 0.5666
O 0.7771 0.5958 0.9228
O 0.7768 0.9520 0.3213
O 0.7933 0.6369 0.2028
O 0.8554 0.3787 0.2724
O 0.8691 0.2962 0.9334
O 0.9055 0.9327 0.5996
O 0.9070 0.4503 0.7548
O 0.9327 0.9055 0.0996
O 0.9520 0.7768 0.8213
O 0.9731 0.3055 0.5029


No. 2
## DyMo6S8 (GGA-PBEsol)

Data for crystalline DyMo6S8 at its relaxed geometry.

Properties
E_form (uncorrected) (meV per atom): -998.0
Space group: R-3 (148)

Cell: 6.3826 6.3826 6.3826 Å, 88.92 88.92 88.92°
Fractional coordinates of all 15 atoms:
Dy 0.0000 0.0000 0.0000
Mo 0.2208 0.5613 0.4202
Mo 0.4202 0.2208 0.5613
Mo 0.4387 0.5798 0.7792
Mo 0.5613 0.4202 0.2208
Mo 0.5798 0.7792 0.4387
Mo 0.7792 0.4387 0.5798
S 0.1272 0.3698 0.7565
S 0.2383 0.2383 0.2383
S 0.2435 0.8728 0.6302
S 0.3698 0.7565 0.1272
S 0.6302 0.2435 0.8728
S 0.7565 0.1272 0.3698
S 0.7617 0.7617 0.7617
S 0.8728 0.6302 0.2435


No. 3
## DyMo6Se8 (GGA-PBEsol)

Data for crystalline DyMo6Se8 at its relaxed geometry.

Properties
E_form (uncorrected) (meV per atom): -746.8
Space group: R-3 (148)

Cell: 6.6491 6.6491 6.6491 Å, 88.78 88.78 88.78°
Fractional coordinates of all 15 atoms:
Dy 0.0000 0.0000 0.0000
Mo 0.2307 0.5596 0.4238
Mo 0.4238 0.2307 0.5596
Mo 0.4404 0.5762 0.7693
Mo 0.5596 0.4238 0.2307
Mo 0.5762 0.7693 0.4404
Mo 0.7693 0.4404 0.5762
Se 0.1218 0.3707 0.7609
Se 0.2369 0.2369 0.2369
Se 0.2391 0.8782 0.6293
Se 0.3707 0.7609 0.1218
Se 0.6293 0.2391 0.8782
Se 0.7609 0.1218 0.3707
Se 0.7631 0.7631 0.7631
Se 0.8782 0.6293 0.2391